{"formula": "AsPt2Cl", "functional": "GGA-PBE", "state": "optimized geometry", "lattice": [[-1.799, 1.799, 5.656], [1.799, -1.799, 5.656], [1.799, 1.799, -5.656]], "species": ["As", "Pt", "Pt", "Cl"], "frac_coords": [[0.000, 0.000, 0.000], [0.500, 0.500, 0.000], [0.750, 0.250, 0.500], [0.250, 0.750, 0.500]], "polymorph_energy_kj_per_mol_atoms": 58.4, "space_group": "I-4m2, No. 119", "total_magnetization_mub_per_fu": 0.00, "mass_density_g_cm3": 11.350, "raw_formation_energy_mev_per_atom": 410}